[1]
A plane-wave DFT calculation with GGA-PBE was carried out for crystalline K2CrRe at its relaxed geometry.

Space-group type = No. 65
ΔH_f (0 K) = 1.557 eV per atom
Total magnetization = 0.82 μB/atom

Cell: 5.396 11.832 2.843 Å, 90.00 90.00 90.00°
Positions (direct):
K1 0.250 0.250 0.000
K2 0.250 0.750 0.000
K3 0.750 0.250 0.000
K4 0.750 0.750 0.000
Cr1 0.000 0.000 0.500
Cr2 0.500 0.500 0.500
Re1 0.000 0.500 0.500
Re2 0.500 0.000 0.500


[2]
A plane-wave DFT calculation with GGA-PBE was carried out for crystalline PrYErZr at its relaxed geometry.

Space-group type = No. 216
ΔH_f (0 K) = 0.223 eV per atom
Total magnetization = 0.32 μB/atom

Cell: 7.831 7.831 7.831 Å, 90.00 90.00 90.00°
Positions (direct):
Pr1 0.000 0.000 0.000
Pr2 0.000 0.500 0.500
Pr3 0.500 0.000 0.500
Pr4 0.500 0.500 0.000
Y1 0.250 0.250 0.750
Y2 0.250 0.750 0.250
Y3 0.750 0.250 0.250
Y4 0.750 0.750 0.750
Er1 0.250 0.250 0.250
Er2 0.250 0.750 0.750
Er3 0.750 0.250 0.750
Er4 0.750 0.750 0.250
Zr1 0.000 0.000 0.500
Zr2 0.000 0.500 0.000
Zr3 0.500 0.000 0.000
Zr4 0.500 0.500 0.500


[3]
A plane-wave DFT calculation with GGA-PBE was carried out for crystalline Pr5Y2Tm2 at its relaxed geometry.

Space-group type = No. 2
ΔH_f (0 K) = 0.166 eV per atom
Total magnetization = 0.00 μB/atom

Cell: 5.824 7.096 8.452 Å, 102.18 110.12 90.03°
Positions (direct):
Pr1 0.000 0.000 0.000
Pr2 0.203 0.994 0.406
Pr3 0.409 0.307 0.819
Pr4 0.591 0.693 0.181
Pr5 0.797 0.006 0.594
Y1 0.177 0.470 0.353
Y2 0.823 0.530 0.647
Tm1 0.385 0.815 0.770
Tm2 0.615 0.185 0.230


[4]
A plane-wave DFT calculation with GGA-PBE was carried out for crystalline Cs2NaCdAu2 at its relaxed geometry.

Space-group type = No. 72
ΔH_f (0 K) = -0.257 eV per atom
Total magnetization = 0.00 μB/atom

Cell: 9.733 9.733 9.733 Å, 136.21 64.34 135.32°
Positions (direct):
Cs1 0.173 0.246 0.419
Cs2 0.327 0.746 0.073
Cs3 0.673 0.254 0.927
Cs4 0.827 0.754 0.581
Na1 0.250 0.750 0.500
Na2 0.750 0.250 0.500
Cd1 0.250 0.250 0.000
Cd2 0.750 0.750 0.000
Au1 0.091 0.760 0.851
Au2 0.409 0.260 0.669
Au3 0.591 0.740 0.331
Au4 0.909 0.240 0.149


[5]
A plane-wave DFT calculation with GGA-PBE was carried out for crystalline ZrIr2Cl at its relaxed geometry.

Formation energy (no corrections) = -0.04 eV per atom
Space-group type = No. 160
Total magnetization = 0.16 μB/atom

Cell: 2.941 2.941 30.586 Å, 90.00 90.00 120.00°
Positions (direct):
Zr1 0.000 0.000 0.000
Zr2 0.333 0.667 0.667
Zr3 0.667 0.333 0.333
Ir1 0.000 0.000 0.254
Ir2 0.000 0.000 0.520
Ir3 0.333 0.667 0.186
Ir4 0.333 0.667 0.921
Ir5 0.667 0.333 0.588
Ir6 0.667 0.333 0.853
Cl1 0.000 0.000 0.730
Cl2 0.333 0.667 0.396
Cl3 0.667 0.333 0.063


[6]
A plane-wave DFT calculation with GGA-PBE was carried out for crystalline Pr2RuPb at its relaxed geometry.

Space-group type = No. 123
ΔH_f (0 K) = -0.309 eV per atom
Total magnetization = 0.00 μB/atom

Cell: 3.529 3.529 8.654 Å, 90.00 90.00 90.00°
Positions (direct):
Pr1 0.000 0.000 0.203
Pr2 0.000 0.000 0.797
Ru1 0.500 0.500 0.000
Pb1 0.500 0.500 0.500


| no. | raw total energy (eV/atom) |
| --- | --- |
| 1 | -4.5100 |
| 2 | -5.8653 |
| 3 | -4.9192 |
| 4 | -2.0064 |
| 5 | -7.0676 |
| 6 | -5.9446 |